VASP calculation (PBE-GGA) on SbAs2P after structural relaxation.

Unit cell a=4.8385 b=4.8385 c=3.4407 alpha=90.00 beta=90.00 gamma=90.00
Space group P4/mmm (No. 123)
Unique sites:
Sb 0.0000 0.0000 0.0000
As 0.0000 0.5000 0.5000
P 0.5000 0.5000 0.0000

Computed properties:
Excess energy over the best structure of this formula in the dataset: 1.96 eV/f.u.
Spin magnetization: 0.00 μB per formula unit
Density of states at the Fermi level: 0.440 states/eV/atom
Formation energy from raw total energies: 535 meV per atom


VASP calculation (PBE-GGA) on Sb2AsP after structural relaxation.

Unit cell a=3.3921 b=4.9714 c=10.9543 alpha=90.00 beta=90.00 gamma=90.00
Space group Imm2 (No. 44)
Unique sites:
Sb 0.0000 0.0000 0.0000
Sb 0.0000 0.5000 0.1905
As 0.0000 0.5000 0.8057
P 0.0000 0.0000 0.4676

Computed properties:
Excess energy over the best structure of this formula in the dataset: 1.10 eV/f.u.
Spin magnetization: 0.00 μB per formula unit
Density of states at the Fermi level: 0.475 states/eV/atom
Formation energy from raw total energies: 321 meV per atom


VASP calculation (PBE-GGA) on Sb2AsP after structural relaxation.

Unit cell a=3.4466 b=5.5073 c=10.1458 alpha=90.00 beta=90.00 gamma=90.00
Space group Cmm2 (No. 35)
Unique sites:
Sb 0.0000 0.0000 0.0000
Sb 0.0000 0.5000 0.2612
As 0.0000 0.0000 0.5638
P 0.0000 0.5000 0.7257

Computed properties:
Excess energy over the best structure of this formula in the dataset: 1.52 eV/f.u.
Spin magnetization: 0.00 μB per formula unit
Density of states at the Fermi level: 0.637 states/eV/atom
Formation energy from raw total energies: 427 meV per atom


VASP calculation (PBE-GGA) on Sb2AsP after structural relaxation.

Unit cell a=5.6938 b=5.6938 c=5.9108 alpha=90.00 beta=90.00 gamma=90.00
Space group I4/mmm (No. 139)
Unique sites:
Sb 0.0000 0.5000 0.0000
As 0.0000 0.0000 0.0000
P 0.0000 0.0000 0.5000

Computed properties:
Excess energy over the best structure of this formula in the dataset: 0.65 eV/f.u.
Spin magnetization: 0.00 μB per formula unit
Density of states at the Fermi level: 0.412 states/eV/atom
Formation energy from raw total energies: 208 meV per atom


VASP calculation (PBE-GGA) on SbAsP after structural relaxation.

Unit cell a=6.5995 b=6.5995 c=6.5995 alpha=90.00 beta=90.00 gamma=90.00
Space group F-43m (No. 216)
Unique sites:
Sb 0.0000 0.0000 0.0000
As 0.2500 0.2500 0.7500
P 0.0000 0.0000 0.5000

Computed properties:
Excess energy over the best structure of this formula in the dataset: 1.27 eV/f.u.
Spin magnetization: 0.00 μB per formula unit
Density of states at the Fermi level: 0.395 states/eV/atom
Formation energy from raw total energies: 602 meV per atom


VASP calculation (PBE-GGA) on SbAs2P after structural relaxation.

Unit cell a=6.1045 b=7.2027 c=3.6990 alpha=90.00 beta=90.00 gamma=90.00
Space group Cmmm (No. 65)
Unique sites:
Sb 0.0000 0.0000 0.0000
As 0.2500 0.2500 0.5000
P 0.0000 0.5000 0.0000

Computed properties:
Excess energy over the best structure of this formula in the dataset: 2.01 eV/f.u.
Spin magnetization: 0.00 μB per formula unit
Density of states at the Fermi level: 0.359 states/eV/atom
Formation energy from raw total energies: 548 meV per atom


Repeat the fourth record exactly.
VASP calculation (PBE-GGA) on Sb2AsP after structural relaxation.

Unit cell a=5.6938 b=5.6938 c=5.9108 alpha=90.00 beta=90.00 gamma=90.00
Space group I4/mmm (No. 139)
Unique sites:
Sb 0.0000 0.5000 0.0000
As 0.0000 0.0000 0.0000
P 0.0000 0.0000 0.5000

Computed properties:
Excess energy over the best structure of this formula in the dataset: 0.65 eV/f.u.
Spin magnetization: 0.00 μB per formula unit
Density of states at the Fermi level: 0.412 states/eV/atom
Formation energy from raw total energies: 208 meV per atom


Question: What is the density of states at the Fermi level in the third record?
Answer: 0.637 states/eV/atom


Question: excess energy over the best structure of this formula in the dataset of number 4 (Sb2AsP)?
Answer: 0.65 eV/f.u.